Computed, not measured: a relaxed Sr2TiAlCo crystal at the PBE level of DFT.

Properties
For the excess energy over the best structure of this formula in the dataset, the calculation gives 236 meV/atom. For the total magnetization, the calculation gives 0.09 μB per atom. The density of states at the Fermi level is 3.03 states/eV per atom. The value obtained for the energy relative to the elements is 0.938 eV per atom.

POSCAR file:
```
Sr2TiAlCo
1.0
6.0450 0.0000 0.0000
0.0000 4.3306 0.0000
0.0000 0.0000 6.0450
Sr Co Al Ti
2 1 1 1
direct
0.5000 0.0000 0.0000
0.0000 0.0000 0.5000
0.0000 0.5000 0.0000
0.0000 0.0000 0.0000
0.5000 0.5000 0.5000
```